No. 1
DFT (PBEsol) results for an optimized crystal structure of Mg2TaMn.

```
Mg2TaMn
1.0
3.764 0.000 0.000
0.000 3.764 0.000
0.000 0.000 4.621
Mg Ta Mn
2 1 1
Cartesian
0.000 1.882 0.000 Mg
1.882 0.000 0.000 Mg
0.000 0.000 2.311 Ta
1.882 1.882 2.311 Mn
```

Summary:
Relative energy among the computed polymorphs = 122 meV per atom
Crystal system = tetragonal
Total moment = 1.141 μB per formula unit
Calculated total energy = -24.14 eV per cell
SG = P4/mmm


No. 2
DFT (PBEsol) results for an optimized crystal structure of MgTaMn2.

```
MgTaMn2
1.0
3.097 0.000 0.000
0.000 3.097 0.000
0.000 0.000 6.114
Mg Ta Mn
1 1 2
Cartesian
0.000 0.000 0.000 Mg
0.000 0.000 3.057 Ta
1.549 1.549 1.698 Mn
1.549 1.549 4.417 Mn
```

Summary:
Crystal system = tetragonal
Total moment = 3.070 μB per formula unit
Calculated total energy = -33.15 eV per cell
SG = P4/mmm


> What is the calculated total energy in the second record?

-33.15 eV per cell


What did the second record say?
DFT (PBEsol) results for an optimized crystal structure of MgTaMn2.

```
MgTaMn2
1.0
3.097 0.000 0.000
0.000 3.097 0.000
0.000 0.000 6.114
Mg Ta Mn
1 1 2
Cartesian
0.000 0.000 0.000 Mg
0.000 0.000 3.057 Ta
1.549 1.549 1.698 Mn
1.549 1.549 4.417 Mn
```

Summary:
Crystal system = tetragonal
Total moment = 3.070 μB per formula unit
Calculated total energy = -33.15 eV per cell
SG = P4/mmm


Copy entry 1 word for word.
DFT (PBEsol) results for an optimized crystal structure of Mg2TaMn.

```
Mg2TaMn
1.0
3.764 0.000 0.000
0.000 3.764 0.000
0.000 0.000 4.621
Mg Ta Mn
2 1 1
Cartesian
0.000 1.882 0.000 Mg
1.882 0.000 0.000 Mg
0.000 0.000 2.311 Ta
1.882 1.882 2.311 Mn
```

Summary:
Relative energy among the computed polymorphs = 122 meV per atom
Crystal system = tetragonal
Total moment = 1.141 μB per formula unit
Calculated total energy = -24.14 eV per cell
SG = P4/mmm